# 1
# PBE-GGA Sm2Tl3AgTe6, optimized geometry
data_Sm2Tl3AgTe6
_cell_length_a 7.722
_cell_length_b 13.465
_cell_length_c 8.231
_cell_angle_alpha 90.00
_cell_angle_beta 108.47
_cell_angle_gamma 90.00
_symmetry_space_group_name_H-M 'C 1 2/m 1'
_symmetry_Int_Tables_number 12
_symmetry_space_group_name_Hall '-C 2y'
loop_
_atom_site_label
_atom_site_type_symbol
_atom_site_fract_x
_atom_site_fract_y
_atom_site_fract_z
Sm1 Sm 0.000 0.163 0.000
Tl1 Tl 0.000 0.000 0.500
Tl2 Tl 0.000 0.318 0.500
Ag1 Ag 0.000 0.500 0.000
Te1 Te 0.230 0.338 0.217
Te2 Te 0.249 0.000 0.235
# crystal system	monoclinic
# E_form (uncorrected)	-0.679	eV/atom
# DOS at the Fermi energy	14.729	states/eV/cell

=====

# 2
# PBE-GGA Sm2TlAgTe4, optimized geometry
data_Sm2TlAgTe4
_cell_length_a 4.486
_cell_length_b 15.094
_cell_length_c 15.883
_cell_angle_alpha 90.00
_cell_angle_beta 90.00
_cell_angle_gamma 90.00
_symmetry_space_group_name_H-M 'C m c m'
_symmetry_Int_Tables_number 63
_symmetry_space_group_name_Hall '-C 2c 2'
loop_
_atom_site_label
_atom_site_type_symbol
_atom_site_fract_x
_atom_site_fract_y
_atom_site_fract_z
Sm1 Sm 0.000 0.132 0.070
Tl1 Tl 0.000 0.373 0.250
Ag1 Ag 0.000 0.344 0.750
Te1 Te 0.000 0.045 0.250
Te2 Te 0.000 0.229 0.609
Te3 Te 0.000 0.500 0.000
# crystal system	orthorhombic
# E_form (uncorrected)	-0.991	eV/atom

=====

# 3
# PBE-GGA Sm3UAg3Te8, optimized geometry
data_Sm3UAg3Te8
_cell_length_a 14.826
_cell_length_b 8.940
_cell_length_c 8.679
_cell_angle_alpha 90.00
_cell_angle_beta 123.16
_cell_angle_gamma 90.00
_symmetry_space_group_name_H-M 'C 1 2/m 1'
_symmetry_Int_Tables_number 12
_symmetry_space_group_name_Hall '-C 2y'
loop_
_atom_site_label
_atom_site_type_symbol
_atom_site_fract_x
_atom_site_fract_y
_atom_site_fract_z
Sm1 Sm 0.000 0.000 0.000
Sm2 Sm 0.250 0.250 0.500
U1 U 0.000 0.500 0.000
Ag1 Ag 0.000 0.500 0.500
Ag2 Ag 0.250 0.250 0.000
Te1 Te 0.003 0.254 0.752
Te2 Te 0.246 0.500 0.753
Te3 Te 0.249 0.500 0.245
# crystal system	monoclinic
# E_form (uncorrected)	-0.790	eV/atom
# DOS at the Fermi energy	10.430	states/eV/cell

=====

# 4
# PBE-GGA SmThAg4, optimized geometry
data_SmThAg4
_cell_length_a 8.151
_cell_length_b 8.151
_cell_length_c 8.151
_cell_angle_alpha 90.00
_cell_angle_beta 90.00
_cell_angle_gamma 90.00
_symmetry_space_group_name_H-M 'F -4 3 m'
_symmetry_Int_Tables_number 216
_symmetry_space_group_name_Hall 'F -4 2 3'
loop_
_atom_site_label
_atom_site_type_symbol
_atom_site_fract_x
_atom_site_fract_y
_atom_site_fract_z
Sm1 Sm 0.000 0.000 0.000
Th1 Th 0.250 0.250 0.250
Ag1 Ag 0.125 0.125 0.625
# crystal system	cubic
# DOS at the Fermi energy	26.139	states/eV/cell
# energy above the lowest structure with this stoichiometry	0.079	eV/atom

=====

# 5
# PBE-GGA SmTh2Ag, optimized geometry
data_SmTh2Ag
_cell_length_a 7.710
_cell_length_b 7.710
_cell_length_c 7.710
_cell_angle_alpha 90.00
_cell_angle_beta 90.00
_cell_angle_gamma 90.00
_symmetry_space_group_name_H-M 'F m -3 m'
_symmetry_Int_Tables_number 225
_symmetry_space_group_name_Hall '-F 4 2 3'
loop_
_atom_site_label
_atom_site_type_symbol
_atom_site_fract_x
_atom_site_fract_y
_atom_site_fract_z
Sm1 Sm 0.000 0.000 0.000
Th1 Th 0.250 0.250 0.250
Ag1 Ag 0.000 0.000 0.500
# crystal system	cubic
# DOS at the Fermi energy	21.980	states/eV/cell
# energy above the lowest structure with this stoichiometry	0.129	eV/atom

=====

# 6
# PBE-GGA SmTh2Ag, optimized geometry
data_SmTh2Ag
_cell_length_a 3.597
_cell_length_b 3.597
_cell_length_c 9.227
_cell_angle_alpha 90.00
_cell_angle_beta 90.00
_cell_angle_gamma 90.00
_symmetry_space_group_name_H-M 'P 4/m m m'
_symmetry_Int_Tables_number 123
_symmetry_space_group_name_Hall '-P 4 2'
loop_
_atom_site_label
_atom_site_type_symbol
_atom_site_fract_x
_atom_site_fract_y
_atom_site_fract_z
Sm1 Sm 0.000 0.000 0.000
Th1 Th 0.500 0.500 0.278
Ag1 Ag 0.000 0.000 0.500
# crystal system	tetragonal
# DOS at the Fermi energy	4.550	states/eV/cell
# energy above the lowest structure with this stoichiometry	0.000	eV/atom

=====

# 7
# PBE-GGA Sm3ThAg4, optimized geometry
data_Sm3ThAg4
_cell_length_a 10.563
_cell_length_b 7.380
_cell_length_c 5.282
_cell_angle_alpha 90.00
_cell_angle_beta 90.00
_cell_angle_gamma 90.00
_symmetry_space_group_name_H-M 'P m m a'
_symmetry_Int_Tables_number 51
_symmetry_space_group_name_Hall '-P 2a 2a'
loop_
_atom_site_label
_atom_site_type_symbol
_atom_site_fract_x
_atom_site_fract_y
_atom_site_fract_z
Sm1 Sm 0.000 0.000 0.000
Sm2 Sm 0.250 0.000 0.499
Sm3 Sm 0.250 0.500 0.499
Th1 Th 0.000 0.500 0.000
Ag1 Ag 0.000 0.246 0.500
Ag2 Ag 0.250 0.246 0.999
# crystal system	orthorhombic
# DOS at the Fermi energy	15.867	states/eV/cell
# E_tot	-34.6	eV per formula unit

=====

# 8
# PBE-GGA SmThAg4, optimized geometry
data_SmThAg4
_cell_length_a 5.365
_cell_length_b 9.702
_cell_length_c 5.369
_cell_angle_alpha 90.00
_cell_angle_beta 90.16
_cell_angle_gamma 90.00
_symmetry_space_group_name_H-M 'C 1 2/m 1'
_symmetry_Int_Tables_number 12
_symmetry_space_group_name_Hall '-C 2y'
loop_
_atom_site_label
_atom_site_type_symbol
_atom_site_fract_x
_atom_site_fract_y
_atom_site_fract_z
Sm1 Sm 0.000 0.000 0.000
Th1 Th 0.000 0.500 0.500
Ag1 Ag 0.000 0.175 0.500
Ag2 Ag 0.000 0.322 0.000
# crystal system	monoclinic
# DOS at the Fermi energy	8.265	states/eV/cell
# energy above the lowest structure with this stoichiometry	0.000	eV/atom

=====

# 9
# PBE-GGA Sm5ThAg4, optimized geometry
data_Sm5ThAg4
_cell_length_a 3.682
_cell_length_b 3.682
_cell_length_c 19.859
_cell_angle_alpha 90.00
_cell_angle_beta 90.00
_cell_angle_gamma 90.00
_symmetry_space_group_name_H-M 'P 4/m m m'
_symmetry_Int_Tables_number 123
_symmetry_space_group_name_Hall '-P 4 2'
loop_
_atom_site_label
_atom_site_type_symbol
_atom_site_fract_x
_atom_site_fract_y
_atom_site_fract_z
Sm1 Sm 0.000 0.000 0.000
Sm2 Sm 0.000 0.000 0.190
Sm3 Sm 0.000 0.000 0.380
Th1 Th 0.500 0.500 0.500
Ag1 Ag 0.500 0.500 0.095
Ag2 Ag 0.500 0.500 0.283
# crystal system	tetragonal
# DOS at the Fermi energy	7.205	states/eV/cell
# E_tot	-44.6	eV per formula unit

=====

# 10
# PBE-GGA Sm2ThTl2Ag2, optimized geometry
data_Sm2ThTl2Ag2
_cell_length_a 4.9376
_cell_length_b 4.9376
_cell_length_c 26.3172
_cell_angle_alpha 90.00
_cell_angle_beta 90.00
_cell_angle_gamma 120.00
_symmetry_space_group_name_H-M 'R -3 m'
_symmetry_Int_Tables_number 166
_symmetry_space_group_name_Hall '-R 3 2"'
loop_
_atom_site_label
_atom_site_type_symbol
_atom_site_fract_x
_atom_site_fract_y
_atom_site_fract_z
Sm1 Sm 0.0000 0.0000 0.1342
Th1 Th 0.0000 0.0000 0.0000
Tl1 Tl 0.0000 0.0000 0.2675
Ag1 Ag 0.0000 0.0000 0.4317
# crystal system	trigonal
# DOS at the Fermi energy	13.334	states/eV/cell
# E_tot	-28.1	eV per formula unit

=====

# 11
# PBE-GGA SmThZnAg, optimized geometry
data_SmThZnAg
_cell_length_a 7.392
_cell_length_b 7.392
_cell_length_c 7.392
_cell_angle_alpha 90.00
_cell_angle_beta 90.00
_cell_angle_gamma 90.00
_symmetry_space_group_name_H-M 'F -4 3 m'
_symmetry_Int_Tables_number 216
_symmetry_space_group_name_Hall 'F -4 2 3'
loop_
_atom_site_label
_atom_site_type_symbol
_atom_site_fract_x
_atom_site_fract_y
_atom_site_fract_z
Sm1 Sm 0.000 0.000 0.000
Th1 Th 0.000 0.000 0.500
Zn1 Zn 0.250 0.250 0.250
Ag1 Ag 0.250 0.250 0.750
# crystal system	cubic
# DOS at the Fermi energy	16.630	states/eV/cell
# E_tot	-16.9	eV per formula unit

=====

# 12
# PBE-GGA Sm2TiAg, optimized geometry
data_Sm2TiAg
_cell_length_a 3.495
_cell_length_b 3.495
_cell_length_c 8.295
_cell_angle_alpha 90.00
_cell_angle_beta 90.00
_cell_angle_gamma 90.00
_symmetry_space_group_name_H-M 'P 4/m m m'
_symmetry_Int_Tables_number 123
_symmetry_space_group_name_Hall '-P 4 2'
loop_
_atom_site_label
_atom_site_type_symbol
_atom_site_fract_x
_atom_site_fract_y
_atom_site_fract_z
Sm1 Sm 0.000 0.000 0.250
Ti1 Ti 0.500 0.500 0.000
Ag1 Ag 0.500 0.500 0.500
# crystal system	tetragonal
# DOS at the Fermi energy	4.248	states/eV/cell
# energy above the lowest structure with this stoichiometry	0.000	eV/atom